The following is a DFT calculation (PBE) of crystalline La2Tb6PmEr3 at its relaxed geometry.

CIF file:
```
data_La2Tb6PmEr3
_symmetry_space_group_name_H-M 'C 1 2/m 1'
_symmetry_Int_Tables_number 12
_cell_length_a 6.216
_cell_length_b 10.769
_cell_length_c 11.881
_cell_angle_alpha 90.00
_cell_angle_beta 100.05
_cell_angle_gamma 90.00
loop_
_symmetry_equiv_pos_as_xyz
'x,y,z'
'-x,-y,-z'
'-x,y,-z'
'x,-y,z'
'x+1/2,y+1/2,z'
'-x+1/2,-y+1/2,-z'
'-x+1/2,y+1/2,-z'
'x+1/2,-y+1/2,z'
loop_
_atom_site_label
_atom_site_fract_x
_atom_site_fract_y
_atom_site_fract_z
La1 0.000 0.167 0.000
Tb1 0.247 0.500 0.744
Tb2 0.248 0.166 0.744
Pm1 0.000 0.500 0.000
Er1 0.000 0.000 0.500
Er2 0.000 0.334 0.500
```

Summary:
- E_form (meV per atom) = 22

The following is a DFT calculation (PBE) of crystalline La4Tb2Pm2Er at its relaxed geometry.

CIF file:
```
data_La4Tb2Pm2Er
_symmetry_space_group_name_H-M 'C 1 2/m 1'
_symmetry_Int_Tables_number 12
_cell_length_a 15.539
_cell_length_b 5.181
_cell_length_c 8.156
_cell_angle_alpha 90.00
_cell_angle_beta 108.72
_cell_angle_gamma 90.00
loop_
_symmetry_equiv_pos_as_xyz
'x,y,z'
'-x,-y,-z'
'-x,y,-z'
'x,-y,z'
'x+1/2,y+1/2,z'
'-x+1/2,-y+1/2,-z'
'-x+1/2,y+1/2,-z'
'x+1/2,-y+1/2,z'
loop_
_atom_site_label
_atom_site_fract_x
_atom_site_fract_y
_atom_site_fract_z
La1 0.054 0.000 0.332
La2 0.223 0.500 0.332
Tb1 0.111 0.500 0.671
Pm1 0.166 0.000 0.000
Er1 0.000 0.500 0.000
```

Summary:
- E_form (meV per atom) = 24

The following is a DFT calculation (PBE) of crystalline LaTb2Pm2Er2 at its relaxed geometry.

CIF file:
```
data_LaTb2Pm2Er2
_symmetry_space_group_name_H-M 'C 1 2/m 1'
_symmetry_Int_Tables_number 12
_cell_length_a 17.331
_cell_length_b 3.503
_cell_length_c 8.909
_cell_angle_alpha 90.00
_cell_angle_beta 119.92
_cell_angle_gamma 90.00
loop_
_symmetry_equiv_pos_as_xyz
'x,y,z'
'-x,-y,-z'
'-x,y,-z'
'x,-y,z'
'x+1/2,y+1/2,z'
'-x+1/2,-y+1/2,-z'
'-x+1/2,y+1/2,-z'
'x+1/2,-y+1/2,z'
loop_
_atom_site_label
_atom_site_fract_x
_atom_site_fract_y
_atom_site_fract_z
La1 0.000 0.000 0.000
Tb1 0.227 0.500 0.150
Pm1 0.068 0.500 0.722
Er1 0.155 0.500 0.449
```

Summary:
- E_form (meV per atom) = 107

The following is a DFT calculation (PBE) of crystalline LaTbPmEr3 at its relaxed geometry.

CIF file:
```
data_LaTbPmEr3
_symmetry_space_group_name_H-M 'C 1 2/m 1'
_symmetry_Int_Tables_number 12
_cell_length_a 19.793
_cell_length_b 5.618
_cell_length_c 7.103
_cell_angle_alpha 90.00
_cell_angle_beta 90.42
_cell_angle_gamma 90.00
loop_
_symmetry_equiv_pos_as_xyz
'x,y,z'
'-x,-y,-z'
'-x,y,-z'
'x,-y,z'
'x+1/2,y+1/2,z'
'-x+1/2,-y+1/2,-z'
'-x+1/2,y+1/2,-z'
'x+1/2,-y+1/2,z'
loop_
_atom_site_label
_atom_site_fract_x
_atom_site_fract_y
_atom_site_fract_z
La1 0.146 0.000 0.036
Tb1 0.150 0.000 0.460
Pm1 0.053 0.500 0.267
Er1 0.024 0.000 0.737
Er2 0.164 0.500 0.734
Er3 0.221 0.500 0.244
```

Summary:
- E_form (meV per atom) = 195

The following is a DFT calculation (PBE) of crystalline La3Tb6PmEr2 at its relaxed geometry.

CIF file:
```
data_La3Tb6PmEr2
_symmetry_space_group_name_H-M 'C 1 2/m 1'
_symmetry_Int_Tables_number 12
_cell_length_a 6.249
_cell_length_b 10.823
_cell_length_c 11.941
_cell_angle_alpha 90.00
_cell_angle_beta 100.08
_cell_angle_gamma 90.00
loop_
_symmetry_equiv_pos_as_xyz
'x,y,z'
'-x,-y,-z'
'-x,y,-z'
'x,-y,z'
'x+1/2,y+1/2,z'
'-x+1/2,-y+1/2,-z'
'-x+1/2,y+1/2,-z'
'x+1/2,-y+1/2,z'
loop_
_atom_site_label
_atom_site_fract_x
_atom_site_fract_y
_atom_site_fract_z
La1 0.000 0.000 0.000
La2 0.000 0.333 0.000
Tb1 0.247 0.000 0.745
Tb2 0.248 0.333 0.745
Pm1 0.000 0.500 0.500
Er1 0.000 0.167 0.500
```

Summary:
- E_form (meV per atom) = 20

The following is a DFT calculation (PBE) of crystalline La2TbPm4Er2 at its relaxed geometry.

CIF file:
```
data_La2TbPm4Er2
_symmetry_space_group_name_H-M 'C 1 2/m 1'
_symmetry_Int_Tables_number 12
_cell_length_a 18.989
_cell_length_b 3.669
_cell_length_c 9.721
_cell_angle_alpha 90.00
_cell_angle_beta 115.77
_cell_angle_gamma 90.00
loop_
_symmetry_equiv_pos_as_xyz
'x,y,z'
'-x,-y,-z'
'-x,y,-z'
'x,-y,z'
'x+1/2,y+1/2,z'
'-x+1/2,-y+1/2,-z'
'-x+1/2,y+1/2,-z'
'x+1/2,-y+1/2,z'
loop_
_atom_site_label
_atom_site_fract_x
_atom_site_fract_y
_atom_site_fract_z
La1 0.166 0.000 0.498
Tb1 0.000 0.500 0.500
Pm1 0.019 0.000 0.837
Pm2 0.186 0.500 0.835
Er1 0.148 0.500 0.165
```

Summary:
- E_form (meV per atom) = 5

The following is a DFT calculation (PBE) of crystalline LaTb2PmEr2 at its relaxed geometry.

CIF file:
```
data_LaTb2PmEr2
_symmetry_space_group_name_H-M 'P n n m'
_symmetry_Int_Tables_number 58
_cell_length_a 6.994
_cell_length_b 16.131
_cell_length_c 3.564
_cell_angle_alpha 90.00
_cell_angle_beta 90.00
_cell_angle_gamma 90.00
loop_
_symmetry_equiv_pos_as_xyz
'x,y,z'
'-x,-y,-z'
'-x,-y,z'
'x,y,-z'
'x+1/2,-y+1/2,-z+1/2'
'-x+1/2,y+1/2,z+1/2'
'-x+1/2,y+1/2,-z+1/2'
'x+1/2,-y+1/2,z+1/2'
loop_
_atom_site_label
_atom_site_fract_x
_atom_site_fract_y
_atom_site_fract_z
La1 0.000 0.000 0.000
Tb1 0.249 0.341 0.000
Pm1 0.000 0.500 0.500
Er1 0.250 0.157 0.500
```

Summary:
- E_form (meV per atom) = 173

The following is a DFT calculation (PBE) of crystalline La2TbPm4Er at its relaxed geometry.

CIF file:
```
data_La2TbPm4Er
_symmetry_space_group_name_H-M 'P 1 2/m 1'
_symmetry_Int_Tables_number 10
_cell_length_a 5.137
_cell_length_b 5.159
_cell_length_c 10.361
_cell_angle_alpha 90.00
_cell_angle_beta 90.12
_cell_angle_gamma 90.00
loop_
_symmetry_equiv_pos_as_xyz
'x,y,z'
'-x,-y,-z'
'-x,y,-z'
'x,-y,z'
loop_
_atom_site_label
_atom_site_fract_x
_atom_site_fract_y
_atom_site_fract_z
La1 0.000 0.000 0.000
La2 0.500 0.500 0.500
Tb1 0.000 0.000 0.500
Pm1 0.001 0.500 0.751
Pm2 0.500 0.000 0.250
Er1 0.500 0.500 0.000
```

Summary:
- E_form (meV per atom) = 25

Question: The lowest E_form belongs to which entry?
Answer: La2TbPm4Er2